# 1
Computed, not measured: a geometry-optimized Nd2Te2S structure at the PBE level of DFT.

- Energy above the most stable polymorph in this dataset: 0 meV per atom
- Total magnetic moment: 0.0 μB per cell
- SG: Cmc2_1, No. 36
- Energy relative to the elements, uncorrected: -788 kJ/mol of formula units

Geometry as CIF:
```
data_Nd2Te2S
_chemical_formula_sum 'Nd4 Te4 S2'
_space_group_name_H-M_alt 'P 1'
_space_group_IT_number 1
_cell_length_a 4.4270
_cell_length_b 8.2171
_cell_length_c 9.1045
_cell_angle_alpha 90.00
_cell_angle_beta 104.07
_cell_angle_gamma 90.00
loop_
_space_group_symop_operation_xyz
'x,y,z'
loop_
_atom_site_label
_atom_site_type_symbol
_atom_site_fract_x
_atom_site_fract_y
_atom_site_fract_z
Nd1 Nd 0.8215 0.4963 0.6431
Nd2 Nd 0.5503 0.5767 0.1006
Nd3 Nd 0.4497 0.0767 0.8994
Nd4 Nd 0.1785 0.9963 0.3569
Te1 Te 0.9466 0.7712 0.8931
Te2 Te 0.0534 0.2712 0.1069
Te3 Te 0.1968 0.6075 0.3935
Te4 Te 0.8032 0.1075 0.6065
S1 S 0.4054 0.4139 0.8108
S2 S 0.5946 0.9139 0.1892
```

=====

# 2
Computed, not measured: a geometry-optimized La2YHoTh structure at the PBE level of DFT.

- D(E_F): 7.7 states/eV/f.u.
- Total magnetic moment: 0.0 μB per cell
- E_form: 0.33 eV per atom
- SG: P2/c, No. 13

Geometry as CIF:
```
data_La2YHoTh
_chemical_formula_sum 'La4 Y2 Ho2 Th2'
_space_group_name_H-M_alt 'P 1'
_space_group_IT_number 1
_cell_length_a 6.3496
_cell_length_b 9.1033
_cell_length_c 6.5311
_cell_angle_alpha 107.73
_cell_angle_beta 90.00
_cell_angle_gamma 90.00
loop_
_space_group_symop_operation_xyz
'x,y,z'
loop_
_atom_site_label
_atom_site_type_symbol
_atom_site_fract_x
_atom_site_fract_y
_atom_site_fract_z
Ho1 Ho 0.1718 0.5000 0.7500
Ho2 Ho 0.8282 0.5000 0.2500
Y1 Y 0.5109 0.0000 0.2500
Y2 Y 0.4891 0.0000 0.7500
La1 La 0.6978 0.3174 0.6654
La2 La 0.3022 0.3174 0.1654
La3 La 0.3022 0.6826 0.3346
La4 La 0.6978 0.6826 0.8346
Th1 Th 0.0000 0.0000 0.0000
Th2 Th 0.0000 0.0000 0.5000
```

=====

# 3
Computed, not measured: a geometry-optimized LiZn2Rh structure at the PBE level of DFT.

- Energy above the most stable polymorph in this dataset: 125 meV per atom
- D(E_F): 1.8 states/eV/f.u.
- Total magnetic moment: 0.0 μB per cell
- E_form: -0.29 eV per atom
- SG: F-43m, No. 216

Geometry as CIF:
```
data_LiZn2Rh
_chemical_formula_sum 'Li1 Zn2 Rh1'
_space_group_name_H-M_alt 'P 1'
_space_group_IT_number 1
_cell_length_a 4.2429
_cell_length_b 4.2429
_cell_length_c 4.2433
_cell_angle_alpha 60.00
_cell_angle_beta 60.00
_cell_angle_gamma 60.00
loop_
_space_group_symop_operation_xyz
'x,y,z'
loop_
_atom_site_label
_atom_site_type_symbol
_atom_site_fract_x
_atom_site_fract_y
_atom_site_fract_z
Zn1 Zn 0.0000 0.0000 0.0000
Zn2 Zn 0.2499 0.2499 0.2502
Rh1 Rh 0.7501 0.7501 0.7498
Li1 Li 0.5000 0.5000 0.5000
```

=====

# 4
Computed, not measured: a geometry-optimized Ti6GaCu structure at the PBE level of DFT.

- Energy above the most stable polymorph in this dataset: 197 meV per atom
- D(E_F): 10.4 states/eV/f.u.
- Total magnetic moment: 0.0 μB per cell
- E_form: 0.04 eV per atom
- SG: C2/m, No. 12

Geometry as CIF:
```
data_Ti6GaCu
_chemical_formula_sum 'Ti6 Ga1 Cu1'
_space_group_name_H-M_alt 'P 1'
_space_group_IT_number 1
_cell_length_a 5.4700
_cell_length_b 5.4700
_cell_length_c 7.3159
_cell_angle_alpha 109.49
_cell_angle_beta 109.49
_cell_angle_gamma 123.23
loop_
_space_group_symop_operation_xyz
'x,y,z'
loop_
_atom_site_label
_atom_site_type_symbol
_atom_site_fract_x
_atom_site_fract_y
_atom_site_fract_z
Cu1 Cu 0.5000 0.5000 0.5000
Ti1 Ti 0.8082 0.3557 0.7488
Ti2 Ti 0.7719 0.7719 0.2503
Ti3 Ti 0.6443 0.1918 0.2512
Ti4 Ti 0.3557 0.8082 0.7488
Ti5 Ti 0.1918 0.6443 0.2512
Ti6 Ti 0.2281 0.2281 0.7497
Ga1 Ga 0.0000 0.0000 0.0000
```

=====

# 5
Computed, not measured: a geometry-optimized PrGa3 structure at the PBE level of DFT.

- D(E_F): 1.4 states/eV/f.u.
- Total magnetic moment: 0.0 μB per cell
- E_form: -0.58 eV per atom
- SG: P6_3/mmc, No. 194

Geometry as CIF:
```
data_PrGa3
_chemical_formula_sum 'Pr2 Ga6'
_space_group_name_H-M_alt 'P 1'
_space_group_IT_number 1
_cell_length_a 6.5060
_cell_length_b 6.5060
_cell_length_c 4.6161
_cell_angle_alpha 90.00
_cell_angle_beta 90.00
_cell_angle_gamma 120.00
loop_
_space_group_symop_operation_xyz
'x,y,z'
loop_
_atom_site_label
_atom_site_type_symbol
_atom_site_fract_x
_atom_site_fract_y
_atom_site_fract_z
Ga1 Ga 0.1418 0.8582 0.2500
Ga2 Ga 0.7163 0.8582 0.2500
Ga3 Ga 0.1418 0.2837 0.2500
Ga4 Ga 0.2837 0.1418 0.7500
Ga5 Ga 0.8582 0.7163 0.7500
Ga6 Ga 0.8582 0.1418 0.7500
Pr1 Pr 0.6667 0.3333 0.2500
Pr2 Pr 0.3333 0.6667 0.7500
```

=====

# 6
Computed, not measured: a geometry-optimized Ba2NiBrN structure at the PBE level of DFT.

- D(E_F): 1.9 states/eV/f.u.
- Total magnetic moment: 0.0 μB per cell
- SG: P4/mmm, No. 123
- Energy relative to the elements, uncorrected: -424 kJ/mol of formula units

Geometry as CIF:
```
data_Ba2NiBrN
_chemical_formula_sum 'Ba2 Ni1 Br1 N1'
_space_group_name_H-M_alt 'P 1'
_space_group_IT_number 1
_cell_length_a 5.8129
_cell_length_b 5.8129
_cell_length_c 3.6547
_cell_angle_alpha 90.00
_cell_angle_beta 90.00
_cell_angle_gamma 90.00
loop_
_space_group_symop_operation_xyz
'x,y,z'
loop_
_atom_site_label
_atom_site_type_symbol
_atom_site_fract_x
_atom_site_fract_y
_atom_site_fract_z
Ni1 Ni 0.0000 0.0000 0.5000
Ba1 Ba 0.0000 0.5000 0.0000
Ba2 Ba 0.5000 0.0000 0.0000
N1 N 0.0000 0.0000 0.0000
Br1 Br 0.5000 0.5000 0.5000
```

=====

# 7
Computed, not measured: a geometry-optimized Zr3TlS structure at the PBE level of DFT.

- Energy above the most stable polymorph in this dataset: 0 meV per atom
- D(E_F): 4.0 states/eV/f.u.
- Total magnetic moment: 0.0 μB per cell
- SG: P2_1/m, No. 11
- Energy relative to the elements, uncorrected: -349 kJ/mol of formula units

Geometry as CIF:
```
data_Zr3TlS
_chemical_formula_sum 'Zr6 Tl2 S2'
_space_group_name_H-M_alt 'P 1'
_space_group_IT_number 1
_cell_length_a 3.6455
_cell_length_b 6.3214
_cell_length_c 9.7403
_cell_angle_alpha 90.00
_cell_angle_beta 90.00
_cell_angle_gamma 106.72
loop_
_space_group_symop_operation_xyz
'x,y,z'
loop_
_atom_site_label
_atom_site_type_symbol
_atom_site_fract_x
_atom_site_fract_y
_atom_site_fract_z
S1 S 0.5000 0.0000 0.0000
S2 S 0.5000 0.0000 0.5000
Zr1 Zr 0.8607 0.7203 0.5474
Zr2 Zr 0.4571 0.9161 0.2500
Zr3 Zr 0.8607 0.7203 0.9526
Zr4 Zr 0.1393 0.2797 0.0474
Zr5 Zr 0.1393 0.2797 0.4526
Zr6 Zr 0.5429 0.0839 0.7500
Tl1 Tl 0.7577 0.5167 0.2500
Tl2 Tl 0.2423 0.4833 0.7500
```

=====

# 8
Computed, not measured: a geometry-optimized Rb2Hg15Pb2 structure at the PBE level of DFT.

- D(E_F): 7.0 states/eV/f.u.
- Total magnetic moment: 0.0 μB per cell
- E_form: -0.09 eV per atom
- SG: R-3m, No. 166

Geometry as CIF:
```
data_Rb2Hg15Pb2
_chemical_formula_sum 'Rb2 Hg15 Pb2'
_space_group_name_H-M_alt 'P 1'
_space_group_IT_number 1
_cell_length_a 8.4449
_cell_length_b 8.4449
_cell_length_c 8.4449
_cell_angle_alpha 79.31
_cell_angle_beta 79.31
_cell_angle_gamma 79.31
loop_
_space_group_symop_operation_xyz
'x,y,z'
loop_
_atom_site_label
_atom_site_type_symbol
_atom_site_fract_x
_atom_site_fract_y
_atom_site_fract_z
Hg1 Hg 0.3686 0.3686 0.8394
Hg2 Hg 0.6314 0.6314 0.1606
Hg3 Hg 0.1606 0.6314 0.6314
Hg4 Hg 0.2985 0.7015 0.0000
Hg5 Hg 0.0000 0.5000 0.0000
Hg6 Hg 0.2985 0.0000 0.7015
Hg7 Hg 0.8394 0.3686 0.3686
Hg8 Hg 0.0000 0.0000 0.5000
Hg9 Hg 0.0000 0.2985 0.7015
Hg10 Hg 0.3686 0.8394 0.3686
Hg11 Hg 0.7015 0.2985 0.0000
Hg12 Hg 0.6314 0.1606 0.6314
Hg13 Hg 0.7015 0.0000 0.2985
Hg14 Hg 0.5000 0.0000 0.0000
Hg15 Hg 0.0000 0.7015 0.2985
Pb1 Pb 0.9041 0.9041 0.9041
Pb2 Pb 0.0959 0.0959 0.0959
Rb1 Rb 0.3313 0.3313 0.3313
Rb2 Rb 0.6687 0.6687 0.6687
```